Record 1
VASP calculation (PBE-GGA) on a geometry-optimized Mg2RuBr structure.

Structure (CIF):
```
data_Mg2RuBr
_cell_length_a 3.554
_cell_length_b 3.554
_cell_length_c 7.305
_cell_angle_alpha 90.00
_cell_angle_beta 90.00
_cell_angle_gamma 90.00
_space_group_name_H-M_alt 'P 4 m m'
_space_group_IT_number 99
_space_group_name_Hall 'P 4 -2'
loop_
_atom_site_label
_atom_site_type_symbol
_atom_site_fract_x
_atom_site_fract_y
_atom_site_fract_z
_atom_site_occupancy
Mg1 Mg 0.000 0.000 0.000 1
Mg2 Mg 0.500 0.500 0.262 1
Ru1 Ru 0.000 0.000 0.353 1
Br1 Br 0.500 0.500 0.812 1
```

relative energy among the computed polymorphs: 295.4 meV per atom
magnetization: 0.658 Bohr magnetons per cell

---

Record 2
VASP calculation (PBE-GGA) on a geometry-optimized MnVMoPt structure.

Structure (CIF):
```
data_MnVMoPt
_cell_length_a 6.126
_cell_length_b 6.126
_cell_length_c 6.126
_cell_angle_alpha 90.00
_cell_angle_beta 90.00
_cell_angle_gamma 90.00
_space_group_name_H-M_alt 'F -4 3 m'
_space_group_IT_number 216
_space_group_name_Hall 'F -4 2 3'
loop_
_atom_site_label
_atom_site_type_symbol
_atom_site_fract_x
_atom_site_fract_y
_atom_site_fract_z
_atom_site_occupancy
Mn1 Mn 0.000 0.000 0.000 1
V1 V 0.000 0.000 0.500 1
Mo1 Mo 0.250 0.250 0.250 1
Pt1 Pt 0.250 0.250 0.750 1
```

DFT formation energy: -0.2023 eV per atom
magnetization: 14.849 Bohr magnetons per cell

---

Record 3
VASP calculation (PBE-GGA) on a geometry-optimized CeTh2Ga2Ru5 structure.

Structure (CIF):
```
data_CeTh2Ga2Ru5
_cell_length_a 10.206
_cell_length_b 10.206
_cell_length_c 3.595
_cell_angle_alpha 90.00
_cell_angle_beta 90.00
_cell_angle_gamma 90.00
_space_group_name_H-M_alt 'P 4/m b m'
_space_group_IT_number 127
_space_group_name_Hall '-P 4 2ab'
loop_
_atom_site_label
_atom_site_type_symbol
_atom_site_fract_x
_atom_site_fract_y
_atom_site_fract_z
_atom_site_occupancy
Ce1 Ce 0.000 0.000 0.000 1
Th1 Th 0.171 0.329 0.000 1
Ga1 Ga 0.124 0.624 0.000 1
Ru1 Ru 0.000 0.500 0.500 1
Ru2 Ru 0.073 0.793 0.500 1
```

DFT formation energy: -0.4414 eV per atom
magnetization: 0.000 Bohr magnetons per cell

---

Record 4
VASP calculation (PBE-GGA) on a geometry-optimized AcLuIr2 structure.

Structure (CIF):
```
data_AcLuIr2
_cell_length_a 7.093
_cell_length_b 7.093
_cell_length_c 7.093
_cell_angle_alpha 90.00
_cell_angle_beta 90.00
_cell_angle_gamma 90.00
_space_group_name_H-M_alt 'F m -3 m'
_space_group_IT_number 225
_space_group_name_Hall '-F 4 2 3'
loop_
_atom_site_label
_atom_site_type_symbol
_atom_site_fract_x
_atom_site_fract_y
_atom_site_fract_z
_atom_site_occupancy
Ac1 Ac 0.000 0.000 0.000 1
Lu1 Lu 0.000 0.000 0.500 1
Ir1 Ir 0.250 0.250 0.250 1
```

relative energy among the computed polymorphs: 67.6 meV per atom
DFT formation energy: -0.5421 eV per atom
magnetization: 0.001 Bohr magnetons per cell